Entry 1:
A geometry-optimized Nd3ThPd12 structure. Source: Alexandria via LeMat-Bulk, functional PBE-GGA.

Calculated values
Raw total energy   -97.4 eV per cell
Space-group type   P4/mmm

Unit cell a=4.206 b=4.206 c=16.800 alpha=90.00 beta=90.00 gamma=90.00
Element x y z (fractional)
Nd 0.000 0.000 0.000
Nd 0.000 0.000 0.249
Nd 0.000 0.000 0.751
Th 0.000 0.000 0.500
Pd 0.000 0.500 0.125
Pd 0.000 0.500 0.377
Pd 0.000 0.500 0.623
Pd 0.000 0.500 0.875
Pd 0.500 0.000 0.125
Pd 0.500 0.000 0.377
Pd 0.500 0.000 0.623
Pd 0.500 0.000 0.875
Pd 0.500 0.500 0.000
Pd 0.500 0.500 0.251
Pd 0.500 0.500 0.500
Pd 0.500 0.500 0.749

***

Entry 2:
A geometry-optimized Nd2ThPd9 structure. Source: Alexandria via LeMat-Bulk, functional PBE-GGA.

Calculated values
Raw total energy   -74.0 eV per cell
Space-group type   P4/mmm

Unit cell a=4.201 b=4.201 c=12.641 alpha=90.00 beta=90.00 gamma=90.00
Element x y z (fractional)
Nd 0.000 0.000 0.165
Nd 0.000 0.000 0.835
Th 0.000 0.000 0.500
Pd 0.000 0.500 0.000
Pd 0.000 0.500 0.337
Pd 0.000 0.500 0.663
Pd 0.500 0.000 0.000
Pd 0.500 0.000 0.337
Pd 0.500 0.000 0.663
Pd 0.500 0.500 0.168
Pd 0.500 0.500 0.500
Pd 0.500 0.500 0.832

***

Entry 3:
A geometry-optimized NdThZnPd structure. Source: Alexandria via LeMat-Bulk, functional PBE-GGA.

Calculated values
Raw total energy   -20.3 eV per cell
Space-group type   F-43m

Unit cell a=5.168 b=5.168 c=5.168 alpha=60.00 beta=60.00 gamma=60.00
Element x y z (fractional)
Nd 0.000 0.000 0.000
Th 0.500 0.500 0.500
Zn 0.750 0.750 0.750
Pd 0.250 0.250 0.250

***

Entry 4:
A geometry-optimized NdTiPd6 structure. Source: Alexandria via LeMat-Bulk, functional PBE-GGA.

Calculated values
Raw total energy   -49.4 eV per cell
Space-group type   P4/mmm

Unit cell a=4.074 b=4.074 c=8.103 alpha=90.00 beta=90.00 gamma=90.00
Element x y z (fractional)
Nd 0.000 0.000 0.000
Ti 0.000 0.000 0.500
Pd 0.000 0.500 0.272
Pd 0.000 0.500 0.728
Pd 0.500 0.000 0.272
Pd 0.500 0.000 0.728
Pd 0.500 0.500 0.000
Pd 0.500 0.500 0.500

***

Entry 5:
A geometry-optimized NdTi2Pd9 structure. Source: Alexandria via LeMat-Bulk, functional PBE-GGA.

Calculated values
Raw total energy   -75.4 eV per cell
Space-group type   P4/mmm

Unit cell a=4.025 b=4.025 c=12.029 alpha=90.00 beta=90.00 gamma=90.00
Element x y z (fractional)
Nd 0.000 0.000 0.000
Ti 0.000 0.000 0.338
Ti 0.000 0.000 0.662
Pd 0.000 0.500 0.185
Pd 0.000 0.500 0.500
Pd 0.000 0.500 0.815
Pd 0.500 0.000 0.185
Pd 0.500 0.000 0.500
Pd 0.500 0.000 0.815
Pd 0.500 0.500 0.000
Pd 0.500 0.500 0.342
Pd 0.500 0.500 0.658

***

Entry 6:
A geometry-optimized NdTlPd6 structure. Source: Alexandria via LeMat-Bulk, functional PBE-GGA.

Calculated values
Excess energy over the best structure of this formula in the dataset   18.9 kJ per mole of atoms
Space-group type   Pm-3

Unit cell a=5.279 b=5.279 c=5.279 alpha=90.00 beta=90.00 gamma=90.00
Element x y z (fractional)
Nd 0.000 0.000 0.000
Tl 0.500 0.500 0.500
Pd 0.000 0.253 0.500
Pd 0.000 0.747 0.500
Pd 0.253 0.500 0.000
Pd 0.500 0.000 0.253
Pd 0.500 0.000 0.747
Pd 0.747 0.500 0.000

***

Entry 7:
A geometry-optimized NdTl2Pd structure. Source: Alexandria via LeMat-Bulk, functional PBE-GGA.

Calculated values
Raw total energy   -14.5 eV per cell
Space-group type   R-3m

Unit cell a=10.722 b=10.722 c=10.722 alpha=18.70 beta=18.70 gamma=18.70
Element x y z (fractional)
Nd 0.000 0.000 0.000
Tl 0.102 0.102 0.102
Tl 0.898 0.898 0.898
Pd 0.500 0.500 0.500

***

Entry 8:
A geometry-optimized NdTlPd4 structure. Source: Alexandria via LeMat-Bulk, functional PBE-GGA.

Calculated values
Raw total energy   -31.4 eV per cell
Space-group type   F-43m

Unit cell a=5.461 b=5.461 c=5.461 alpha=60.00 beta=60.00 gamma=60.00
Element x y z (fractional)
Nd 0.000 0.000 0.000
Tl 0.250 0.250 0.250
Pd 0.126 0.625 0.625
Pd 0.625 0.126 0.625
Pd 0.625 0.625 0.126
Pd 0.625 0.625 0.625